Record 1
The following is a DFT calculation (PBE) of an optimized crystal structure of LaTb4Dy2Sc.

Results
V = 514.2 Å³ per cell
M_tot = 2.39 μB per cell
Calculated formation energy = 417 meV per atom
Space-group type = No. 74
VASP energy = -4.4558 eV/atom

Unit cell a=9.3817 b=9.3817 c=11.6164 alpha=128.25 beta=128.25 gamma=88.49
Closest atoms and distances in Å follow each position.
Atoms (fractional coordinates):
Tb 0.2425 0.7427 0.4925  3 Dy 3.27-3.39, 1 La 3.27, 2 Tb 3.28-3.48, 2 Sc 3.33-3.34
Dy 0.5000 0.0000 0.5000  6 Tb 3.38-3.39, 2 Sc 3.38
La 0.0000 0.0000 0.0000  6 Tb 3.27-3.36, 2 La 3.38
La 0.5000 0.5000 0.5000  6 Tb 3.27-3.36, 2 La 3.38
Tb 0.7577 0.7419 0.5000  1 Sc 3.17, 2 La 3.36, 3 Dy 3.36-3.38, 2 Tb 3.39
Tb 0.7575 0.2573 0.5075  3 Dy 3.27-3.39, 1 La 3.27, 2 Tb 3.28-3.48, 2 Sc 3.33-3.34
Tb 0.7581 0.7423 0.0000  1 Sc 3.17, 2 La 3.36, 3 Dy 3.36-3.38, 2 Tb 3.39
Tb 0.2423 0.2581 0.5000  1 Sc 3.17, 2 La 3.36, 3 Dy 3.36-3.38, 2 Tb 3.39
Tb 0.2427 0.7425 0.9925  3 Dy 3.27-3.39, 1 La 3.27, 2 Tb 3.28-3.48, 2 Sc 3.33-3.34
Dy 0.5000 0.5000 0.0000  6 Tb 3.27-3.36, 2 Dy 3.38
Dy 0.5000 0.0000 0.0000  6 Tb 3.38-3.39, 2 Sc 3.38
Sc 0.0000 0.5000 0.5000  6 Tb 3.17-3.34, 2 Dy 3.38
Tb 0.7573 0.2575 0.0075  3 Dy 3.27-3.39, 1 La 3.27, 2 Tb 3.28-3.48, 2 Sc 3.33-3.34
Sc 0.0000 0.5000 0.0000  6 Tb 3.17-3.34, 2 Dy 3.38
Tb 0.2419 0.2577 0.0000  1 Sc 3.17, 2 La 3.36, 3 Dy 3.36-3.38, 2 Tb 3.39
Dy 0.0000 0.0000 0.5000  6 Tb 3.27-3.36, 2 Dy 3.38

***

Record 2
The following is a DFT calculation (PBE) of an optimized crystal structure of Sr2Bi2Sb2Pb5.

Results
V = 462.1 Å³ per cell
M_tot = 0.00 μB per cell
Space-group type = No. 139
E_form (uncorrected) = -0.061 eV/atom
VASP energy = -3.5076 eV/atom

Unit cell a=4.9218 b=4.9218 c=19.3926 alpha=97.29 beta=97.29 gamma=90.00
Closest atoms and distances in Å follow each position.
Atoms (fractional coordinates):
Sb 0.0774 0.0774 0.1548  5 Pb 2.95-3.21
Sr 0.2109 0.2109 0.4219  5 Bi 3.47-3.51
Sb 0.9226 0.9226 0.8452  5 Pb 2.95-3.21
Pb 0.1313 0.6313 0.2625  2 Sb 3.21, 4 Pb 3.48, 2 Bi 3.55
Pb 0.6313 0.1313 0.2625  2 Sb 3.21, 4 Pb 3.48, 2 Bi 3.55
Sr 0.7891 0.7891 0.5781  5 Bi 3.47-3.51
Pb 0.0000 0.0000 0.0000  2 Sb 2.95
Bi 0.3018 0.3018 0.6036  5 Sr 3.47-3.51, 4 Pb 3.55
Pb 0.8687 0.3687 0.7375  2 Sb 3.21, 4 Pb 3.48, 2 Bi 3.55
Bi 0.6982 0.6982 0.3964  5 Sr 3.47-3.51, 4 Pb 3.55
Pb 0.3687 0.8687 0.7375  2 Sb 3.21, 4 Pb 3.48, 2 Bi 3.55

***

Record 3
The following is a DFT calculation (PBE) of an optimized crystal structure of Na3BrCl2.

Results
V = 147.0 Å³ per cell
M_tot = 0.00 μB per cell
Space-group type = No. 71
E_form (uncorrected) = -1.718 eV/atom
VASP energy = -3.2717 eV/atom

Unit cell a=4.0926 b=5.8224 c=7.1210 alpha=114.13 beta=106.70 gamma=90.00
Closest atoms and distances in Å follow each position.
Atoms (fractional coordinates):
Br 0.5000 0.5000 0.5000  6 Na 2.91-2.98
Na 0.1758 0.6758 0.8515  4 Cl 2.83-2.91, 2 Br 2.98
Cl 0.8337 0.8337 0.1673  6 Na 2.83-2.91
Cl 0.1663 0.1663 0.8327  6 Na 2.83-2.91
Na 0.8242 0.3242 0.1485  4 Cl 2.83-2.91, 2 Br 2.98
Na 0.5000 0.0000 0.5000  4 Cl 2.90, 2 Br 2.91

***

Record 4
The following is a DFT calculation (PBE) of an optimized crystal structure of HgIr2Cl.

Results
V = 69.0 Å³ per cell
M_tot = 0.00 μB per cell
Space-group type = No. 12
E_form (uncorrected) = 0.835 eV/atom
VASP energy = -4.1330 eV/atom

Unit cell a=5.5752 b=5.5752 c=2.9536 alpha=74.15 beta=74.15 gamma=117.76
Closest atoms and distances in Å follow each position.
Atoms (fractional coordinates):
Ir 0.0000 0.0000 0.0000  2 Cl 2.78, 2 Hg 2.78, 6 Ir 2.83-2.95
Hg 0.0000 0.5000 0.5000  4 Ir 2.78, 4 Cl 2.83-2.88, 2 Hg 2.95
Ir 0.5000 0.5000 0.0000  2 Hg 2.78, 2 Cl 2.78, 6 Ir 2.83-2.95
Cl 0.5000 0.0000 0.5000  4 Ir 2.78, 4 Hg 2.83-2.88, 2 Cl 2.95

***

Record 5
The following is a DFT calculation (PBE) of an optimized crystal structure of Cs3Tb3AlS8.

Results
V = 451.4 Å³ per cell
M_tot = 0.00 μB per cell
Space-group type = No. 166
E_form (uncorrected) = -1.543 eV/atom
VASP energy = -5.0911 eV/atom

Unit cell a=7.9580 b=7.9630 c=9.4246 alpha=115.03 beta=90.00 gamma=119.98
Closest atoms and distances in Å follow each position.
Atoms (fractional coordinates):
Al 0.0000 0.0000 0.5000  6 S 2.52
S 0.7277 0.4554 0.6830  3 Tb 2.75
S 0.2088 0.9603 0.6690  1 Al 2.52, 2 Tb 2.78
S 0.7515 0.9603 0.6690  1 Al 2.52, 2 Tb 2.78
Cs 0.0000 0.5000 0.0000  6 S 3.48-3.50
S 0.7912 0.0397 0.3310  1 Al 2.52, 2 Tb 2.78
Cs 0.5000 0.5000 0.0000  6 S 3.48-3.50
Tb 0.5000 0.0000 0.5000  6 S 2.75-2.78
S 0.7911 0.5821 0.3309  1 Al 2.52, 2 Tb 2.77
S 0.2089 0.4179 0.6691  1 Al 2.52, 2 Tb 2.77
S 0.2723 0.5446 0.3170  3 Tb 2.75
Tb 0.0000 0.5000 0.5000  6 S 2.75-2.78
Cs 0.0000 0.0000 0.0000  6 S 3.47-3.50
Tb 0.5000 0.5000 0.5000  6 S 2.75-2.78
S 0.2485 0.0397 0.3310  1 Al 2.52, 2 Tb 2.78

***

Record 6
The following is a DFT calculation (PBE) of an optimized crystal structure of LiYPuIr.

Results
V = 84.3 Å³ per cell
M_tot = 5.80 μB per cell
Calculated formation energy = -348 meV per atom
Space-group type = No. 216
VASP energy = -8.2406 eV/atom

Unit cell a=4.9222 b=4.9222 c=4.9222 alpha=60.00 beta=60.00 gamma=60.00
Closest atoms and distances in Å follow each position.
Atoms (fractional coordinates):
Ir 0.5000 0.5000 0.5000  4 Y 3.01, 4 Pu 3.01
Li 0.0000 0.0000 0.0000  4 Pu 3.01, 4 Y 3.01
Y 0.2500 0.2500 0.2500  4 Ir 3.01, 4 Li 3.01
Pu 0.7500 0.7500 0.7500  4 Li 3.01, 4 Ir 3.01